The following is a DFT calculation (GGA-PBE) of a relaxed Nd2HoPb crystal.

## Properties
Its formation enthalpy at 0 K is -312 meV per atom. For the polymorph energy (0 for the lowest one), the calculation gives 0 meV/atom. Its symmetry is P4/mmm.

extended XYZ file:
```
4
Lattice="-0.2503 2.0738 -4.5575 -4.6343 1.3776 0.8813 1.6169 4.2569 1.8482" Properties=species:S:1:pos:R:3 pbc="T T T"
Ho -0.1251 1.0369 -2.2788
Nd 0.8085 2.1284 0.9241
Nd -2.3171 0.6888 0.4407
Pb -1.6338 3.8541 -0.9140
```

=====

The following is a DFT calculation (GGA-PBE) of a relaxed HfTcMo2 crystal.

## Properties
Its formation enthalpy at 0 K is 513 meV per atom. For the polymorph energy (0 for the lowest one), the calculation gives 704 meV/atom. Its symmetry is I-42d.

extended XYZ file:
```
8
Lattice="7.3488 0.0000 0.0000 0.0000 7.3488 0.0000 3.6744 3.6744 2.6885" Properties=species:S:1:pos:R:3 pbc="T T T"
Hf 7.3488 3.6744 1.3442
Hf 0.0000 0.0000 0.0000
Mo 5.2680 1.8372 0.6721
Mo 5.5116 5.7552 2.0164
Mo 2.0808 5.5116 0.6721
Mo 9.1859 8.9423 2.0164
Tc 3.6744 3.6744 0.0000
Tc 3.6744 7.3488 1.3442
```

=====

The following is a DFT calculation (GGA-PBE) of a relaxed HoTm2Lu crystal.

## Properties
Its formation enthalpy at 0 K is 29 meV per atom. For the polymorph energy (0 for the lowest one), the calculation gives 1 meV/atom. Its symmetry is P4/mmm.

extended XYZ file:
```
4
Lattice="-4.6407 0.1513 -1.6489 1.1463 -3.2430 -3.5238 -1.1934 -3.7025 3.0192" Properties=species:S:1:pos:R:3 pbc="T T T"
Ho -2.3439 -3.3971 -1.0768
Tm -0.5967 -1.8513 1.5096
Tm 0.5732 -1.6215 -1.7619
Lu -2.3204 0.0756 -0.8244
```

=====

The following is a DFT calculation (GGA-PBE) of a relaxed CaBeSi crystal.

## Properties
The value obtained for the formation energy without anion corrections is 0.139 eV per atom. Its symmetry is Fmm2.

extended XYZ file:
```
3
Lattice="-4.0120 -3.6629 -1.8899 -1.3209 -5.3508 -1.1516 -1.8129 -0.9625 2.5343" Properties=species:S:1:pos:R:3 pbc="T T T"
Si -4.0120 -5.9923 -0.9491
Ca -2.9856 -3.6448 0.6767
Be -1.9612 -1.3017 2.2995
```

=====

The following is a DFT calculation (GGA-PBE) of a relaxed CoNi2Se crystal.

## Properties
The value obtained for the formation energy without anion corrections is 0.295 eV per atom. Its symmetry is R-3m.

extended XYZ file:
```
4
Lattice="-4.4766 -2.5841 -5.9204 -1.9756 -2.6546 -7.1287 -2.8209 -4.7859 -5.5593" Properties=species:S:1:pos:R:3 pbc="T T T"
Se -2.3183 -2.5062 -4.6521
Ni -4.6309 -5.0062 -9.2930
Ni -0.0056 -0.0061 -0.0113
Co -6.9548 -7.5185 -13.9563
```

=====

The following is a DFT calculation (GGA-PBE) of a relaxed SrCaOs2 crystal.

## Properties
Its formation enthalpy at 0 K is 979 meV per atom. For the polymorph energy (0 for the lowest one), the calculation gives 581 meV/atom. Its symmetry is Pmmm.

extended XYZ file:
```
4
Lattice="3.3241 0.0000 0.0000 0.0000 4.8263 0.0000 0.0000 0.0000 4.8955" Properties=species:S:1:pos:R:3 pbc="T T T"
Os 0.0000 0.0000 0.0000
Os 1.6620 2.4131 0.0000
Ca 0.0000 2.4131 2.4478
Sr 1.6620 0.0000 2.4478
```

=====

The following is a DFT calculation (GGA-PBE) of a relaxed Ac6PtRh2I2 crystal.

## Properties
The value obtained for the formation energy without anion corrections is -0.938 eV per atom. Its symmetry is C2/m.

extended XYZ file:
```
11
Lattice="-6.0489 3.6804 -2.8752 -0.8455 -4.5939 6.0483 3.8141 6.8855 4.1605" Properties=species:S:1:pos:R:3 pbc="T T T"
Ac 1.8844 3.1227 5.0977
Ac -2.3562 4.0638 5.1420
Ac -3.2147 0.0665 5.2372
Ac 0.1344 5.9055 2.0965
Ac -0.7241 1.9082 2.1917
Ac -4.9647 2.8493 2.2360
I -1.7064 -3.2249 4.5719
I -5.1880 2.3114 -1.3988
Rh -2.4218 4.3879 2.1550
Rh -0.6586 1.5841 5.1788
Pt 1.9070 3.4427 2.0803
```

=====

The following is a DFT calculation (GGA-PBE) of a relaxed Pr3Nd4Th2 crystal.

## Properties
Its formation enthalpy at 0 K is 95 meV per atom. For the polymorph energy (0 for the lowest one), the calculation gives 43 meV/atom. Its symmetry is P3m1.

extended XYZ file:
```
9
Lattice="3.6309 0.0000 0.0000 -1.8155 3.1445 0.0000 0.0000 0.0000 27.6825" Properties=species:S:1:pos:R:3 pbc="T T T"
Nd 1.8155 1.0482 12.0186
Nd 1.8155 1.0482 5.9045
Nd 0.0000 0.0000 21.2082
Nd 0.0000 0.0000 15.0281
Pr 1.8155 1.0482 18.0993
Pr 0.0000 0.0000 27.1907
Pr 0.0000 0.0000 8.8796
Th 1.8155 1.0482 24.1608
Th 1.8155 1.0482 2.5222
```

=====

The following is a DFT calculation (GGA-PBE) of a relaxed BIr crystal.

## Properties
Its formation enthalpy at 0 K is 200 meV per atom. Its symmetry is P4_2/mnm.

extended XYZ file:
```
8
Lattice="-0.5903 -4.0598 -3.9797 0.6678 -4.0229 4.0049 -3.3985 -0.0309 0.5356" Properties=species:S:1:pos:R:3 pbc="T T T"
B -1.6845 -1.5543 0.2726
B -0.2007 -4.0484 -1.5075
B -1.6365 -6.5594 0.2882
B 0.2783 -4.0343 1.5327
Ir 0.0521 -5.4344 0.0169
Ir -1.2483 -4.0447 2.8966
Ir -2.0727 -4.0689 -2.3358
Ir 0.0254 -2.6484 0.0082
```

=====

The following is a DFT calculation (GGA-PBE) of a relaxed MnFeSi2Ir crystal.

## Properties
The value obtained for the formation energy without anion corrections is 0.841 eV per atom. Its symmetry is P4/mmm.

extended XYZ file:
```
5
Lattice="4.2372 0.0000 0.0000 0.0000 4.1681 0.0000 0.0000 0.0000 4.2372" Properties=species:S:1:pos:R:3 pbc="T T T"
Fe 0.0000 2.0840 0.0000
Mn 0.0000 0.0000 0.0000
Ir 2.1186 2.0840 2.1186
Si 0.0000 0.0000 2.1186
Si 2.1186 0.0000 0.0000
```

=====

The following is a DFT calculation (GGA-PBE) of a relaxed CuPt6Rh3 crystal.

## Properties
Its formation enthalpy at 0 K is 57 meV per atom. Its symmetry is P2_1/m.

extended XYZ file:
```
20
Lattice="4.3331 0.0000 0.0000 0.0000 13.1980 -2.3914 0.0000 -0.6327 5.4032" Properties=species:S:1:pos:R:3 pbc="T T T"
Cu 3.2499 6.8985 2.9660
Cu 1.0833 5.6669 0.0459
Pt 1.0833 5.4147 2.7493
Pt 1.0833 3.1638 1.1310
Pt 1.0833 0.1862 3.4678
Pt 3.2499 9.4015 1.8809
Pt 1.0833 10.4604 3.3707
Pt 1.0833 8.2482 -0.9952
Pt 1.0833 10.6903 0.6551
Pt 3.2499 2.1049 -0.3588
Pt 3.2499 7.1507 0.2626
Pt 3.2499 12.3792 -0.4559
Pt 3.2499 1.8751 2.3568
Pt 3.2499 4.3171 4.0071
Rh 3.2499 9.7596 -0.8246
Rh 3.2499 12.0153 2.2599
Rh 1.0833 0.5500 0.7519
Rh 1.0833 2.8057 3.8365
Rh 3.2499 4.6479 1.3044
Rh 1.0833 7.9174 1.7075
```

=====

The following is a DFT calculation (GGA-PBE) of a relaxed Zn2SiMo crystal.

## Properties
The value obtained for the formation energy without anion corrections is 0.049 eV per atom. Its symmetry is P2/m.

extended XYZ file:
```
4
Lattice="4.7397 0.0000 0.0000 0.0000 2.6489 -0.0212 0.0000 -0.0173 4.6589" Properties=species:S:1:pos:R:3 pbc="T T T"
Si 2.3699 1.9737 3.4782
Zn 0.0000 2.3780 -0.0013
Zn 0.0000 1.5867 2.2989
Mo 2.3699 0.6579 1.1594
```